The following is a DFT calculation (PBE) of a geometry-optimized ScFe2W structure. Values from VASP.

Structure (Quantum ESPRESSO input):
```
&SYSTEM
  ibrav = 0, nat = 4, ntyp = 3
/
ATOMIC_SPECIES
Sc 44.96 Sc.upf
Fe 55.84 Fe.upf
W 183.84 W.upf
CELL_PARAMETERS angstrom
4.320 0.000 0.000
2.160 3.741 0.000
2.160 1.247 3.527
ATOMIC_POSITIONS angstrom
Sc 4.320 2.494 1.764
Fe 6.480 3.741 2.645
Fe 0.000 0.000 0.000
W 2.160 1.247 0.882
```

* space group: F-43m (216)
* V: 57.0 Å³ per cell
* calculated total energy: -35.2 eV for the cell shown